VASP calculation (GGA-PBE) on crystalline Ge4As3Au at its relaxed geometry.

Properties
Electronic total energy in eV/atom: -4.4235
Space group: Pmn2_1 (31)

Cell lengths 8.2563, 7.1650, 6.8336 Å; angles 90.00, 90.00, 90.00 degrees
Fractional positions:
Ge1 0.0000 0.1504 0.0000
Ge2 0.0000 0.8394 0.4931
Ge3 0.2410 0.3326 0.4945
Ge4 0.2590 0.6674 0.9945
Ge5 0.5000 0.1606 0.9931
Ge6 0.5000 0.8496 0.5000
Ge7 0.7410 0.6674 0.9945
Ge8 0.7590 0.3326 0.4945
As1 0.0000 0.8131 0.8678
As2 0.2470 0.3353 0.8700
As3 0.2530 0.6647 0.3700
As4 0.5000 0.1869 0.3678
As5 0.7470 0.6647 0.3700
As6 0.7530 0.3353 0.8700
Au1 0.0000 0.1657 0.3650
Au2 0.5000 0.8343 0.8650



VASP calculation (GGA-PBE) on crystalline BaPa6S8 at its relaxed geometry.

Properties
Energy relative to the elements, uncorrected in meV/atom: -1228.7
Space group: R-3 (148)

Cell lengths 7.4068, 7.4068, 7.4068 Å; angles 88.60, 88.60, 88.60 degrees
Fractional positions:
Ba1 0.0000 0.0000 0.0000
Pa1 0.2127 0.5988 0.4500
Pa2 0.4012 0.5500 0.7873
Pa3 0.4500 0.2127 0.5988
Pa4 0.5500 0.7873 0.4012
Pa5 0.5988 0.4500 0.2127
Pa6 0.7873 0.4012 0.5500
S1 0.1015 0.3522 0.7352
S2 0.2648 0.8985 0.6478
S3 0.2774 0.2774 0.2774
S4 0.3522 0.7352 0.1015
S5 0.6478 0.2648 0.8985
S6 0.7226 0.7226 0.7226
S7 0.7352 0.1015 0.3522
S8 0.8985 0.6478 0.2648



VASP calculation (GGA-PBE) on crystalline Mo2W2C3 at its relaxed geometry.

Properties
Electronic total energy in eV/atom: -10.6378
Space group: C2/m (12)

Cell lengths 6.0341, 6.0341, 5.1820 Å; angles 115.22, 115.22, 28.28 degrees
Fractional positions:
Mo1 0.1225 0.1225 0.4538
Mo2 0.8775 0.8775 0.5462
W1 0.3758 0.3758 0.0438
W2 0.6242 0.6242 0.9562
C1 0.0000 0.0000 0.0000
C2 0.2548 0.2548 0.2535
C3 0.7452 0.7452 0.7465



no.,calculated volume (Å³ per atom)
1,25.266
2,27.066
3,11.470